(1)
# KCoPtF6

A relaxed structure of KCoPtF6 (PBE with a Hubbard U, the Alexandria database).

The space group is P1 (No. 1) and the conventional cell measures 5.5399, 5.5546 and 5.5822 Å, with angles of 90.41, 90.55 and 117.66 degrees. Symmetry generates all atoms from K at (0.0000, 0.0000, 0.0000), Co at (0.3295, 0.6711, 0.5004), Pt at (0.6677, 0.3320, 0.5002), F at (0.0315, 0.6438, 0.2852), F at (0.3579, 0.9679, 0.7161), F at (0.3601, 0.3493, 0.3193), F at (0.6425, 0.0070, 0.3169), F at (0.6516, 0.6391, 0.6809) and F at (0.9941, 0.3571, 0.6833).

The value obtained for the total energy is -4.48 eV per atom.



(2)
# SrIn2NiF

A relaxed structure of SrIn2NiF (PBE with a Hubbard U, the Alexandria database).

The space group is P4/mmm (No. 123) and the conventional cell measures 4.6941, 4.6941 and 6.1149 Å, with angles of 90.00, 90.00 and 90.00 degrees. Symmetry generates all atoms from Sr at (0.0000, 0.0000, 0.0000), In at (0.0000, 0.5000, 0.5000), Ni at (0.5000, 0.5000, 0.5000) and F at (0.5000, 0.5000, 0.0000).

The value obtained for the total energy is -2.66 eV per atom. Its density of states at the Fermi level is 3.10 states/eV/cell.